# 1
# VCo2Ru2

A relaxed VCo2Ru2 crystal (GGA-PBE, Alexandria).

Cell: 7.020 7.020 2.659 Å, 90.00 90.00 90.00°
Fractional coordinates of all 10 atoms:
Ru 0.371 0.871 0.000
Ru 0.871 0.629 0.000
Ru 0.629 0.129 0.000
Ru 0.129 0.371 0.000
Co 0.169 0.669 0.500
Co 0.669 0.831 0.500
Co 0.831 0.331 0.500
Co 0.331 0.169 0.500
V 0.000 0.000 0.000
V 0.500 0.500 0.000

Output
spin magnetization = 3.43 Bohr magnetons per cell
calculated formation energy = 1.25 eV per formula unit
E above lowest polymorph = 100.2 meV/atom

---

# 2
# VCo4Ru

A relaxed VCo4Ru crystal (GGA-PBE, Alexandria).

Cell: 4.662 4.662 4.662 Å, 60.00 60.00 60.00°
Fractional coordinates of all 6 atoms:
Ru 0.000 0.000 0.000
Co 0.625 0.625 0.125
Co 0.625 0.125 0.625
Co 0.625 0.625 0.625
Co 0.125 0.625 0.625
V 0.250 0.250 0.250

Output
spin magnetization = 6.08 Bohr magnetons per cell
calculated formation energy = 0.07 eV per formula unit
E above lowest polymorph = 31.3 meV/atom

---

# 3
# VCoRu2

A relaxed VCoRu2 crystal (GGA-PBE, Alexandria).

Cell: 3.692 3.692 8.749 Å, 77.82 77.82 90.00°
Fractional coordinates of all 8 atoms:
Ru 0.644 0.125 0.250
Ru 0.106 0.625 0.250
Ru 0.375 0.356 0.750
Ru 0.875 0.894 0.750
Co 0.000 0.000 0.000
Co 0.750 0.250 0.500
V 0.500 0.500 0.000
V 0.250 0.750 0.500

Output
spin magnetization = 0.00 Bohr magnetons per cell
calculated formation energy = 1.94 eV per formula unit

---

# 4
# V4Co2Ru

A relaxed V4Co2Ru crystal (GGA-PBE, Alexandria).

Cell: 4.454 4.454 6.613 Å, 70.32 70.32 90.00°
Fractional coordinates of all 7 atoms:
Ru 0.000 0.000 0.000
Co 0.394 0.394 0.212
Co 0.606 0.606 0.788
V 0.208 0.208 0.585
V 0.792 0.792 0.415
V 0.000 0.500 0.000
V 0.500 0.000 0.000

Output
spin magnetization = 2.31 Bohr magnetons per cell
calculated formation energy = 6.69 eV per formula unit